# 1
# PrTaZn | OQMD | PBE | optimized geometry
data_PrTaZn
_cell_length_a 4.872
_cell_length_b 4.872
_cell_length_c 4.872
_cell_angle_alpha 60.00
_cell_angle_beta 60.00
_cell_angle_gamma 60.00
_space_group_name_H-M_alt 'P 1'
_space_group_IT_number 1
loop_
_space_group_symop_operation_xyz
'x,y,z'
loop_
_atom_site_label
_atom_site_fract_x
_atom_site_fract_y
_atom_site_fract_z
Pr1 0.000 0.000 0.000
Ta1 0.750 0.750 0.750
Zn1 0.250 0.250 0.250
# - magnetization (μB per atom) = 0.72
# - symmetry = No. 216
# - crystal system = cubic
# - uncorrected energy (eV per atom) = -4.594
# - theoretical density (g cm⁻³) = 7.863
# - offset from the most stable computed form (meV/atom) = 688
# - formation energy (kcal/mol of atoms) = 31.59

# 2
# TmCuGeS3 | OQMD | PBE | optimized geometry
data_TmCuGeS3
_cell_length_a 6.458
_cell_length_b 6.458
_cell_length_c 10.106
_cell_angle_alpha 90.00
_cell_angle_beta 90.00
_cell_angle_gamma 146.14
_space_group_name_H-M_alt 'P 1'
_space_group_IT_number 1
loop_
_space_group_symop_operation_xyz
'x,y,z'
loop_
_atom_site_label
_atom_site_fract_x
_atom_site_fract_y
_atom_site_fract_z
Tm1 0.000 0.000 0.000
Tm2 0.000 0.000 0.500
Cu1 0.473 0.527 0.750
Cu2 0.527 0.473 0.250
Ge1 0.234 0.766 0.250
Ge2 0.766 0.234 0.750
S1 0.089 0.911 0.750
S2 0.356 0.644 0.573
S3 0.356 0.644 0.927
S4 0.644 0.356 0.073
S5 0.644 0.356 0.427
S6 0.911 0.089 0.250
# - magnetization (μB per atom) = 0.00
# - symmetry = No. 63
# - crystal system = orthorhombic
# - uncorrected energy (eV per atom) = -5.113
# - theoretical density (g cm⁻³) = 5.676

# 3
# FeCuNiPb | OQMD | PBE | optimized geometry
data_FeCuNiPb
_cell_length_a 4.368
_cell_length_b 4.368
_cell_length_c 4.368
_cell_angle_alpha 60.00
_cell_angle_beta 60.00
_cell_angle_gamma 60.00
_space_group_name_H-M_alt 'P 1'
_space_group_IT_number 1
loop_
_space_group_symop_operation_xyz
'x,y,z'
loop_
_atom_site_label
_atom_site_fract_x
_atom_site_fract_y
_atom_site_fract_z
Fe1 0.000 0.000 0.000
Cu1 0.250 0.250 0.250
Ni1 0.750 0.750 0.750
Pb1 0.500 0.500 0.500
# - magnetization (μB per atom) = 0.82
# - symmetry = No. 216
# - crystal system = cubic
# - uncorrected energy (eV per atom) = -4.976
# - theoretical density (g cm⁻³) = 10.859
# - offset from the most stable computed form (meV/atom) = 0

# 4
# Gd2YZnCd3Ga2 | OQMD | PBE | optimized geometry
data_Gd2YZnCd3Ga2
_cell_length_a 4.373
_cell_length_b 7.298
_cell_length_c 7.298
_cell_angle_alpha 119.88
_cell_angle_beta 90.00
_cell_angle_gamma 90.00
_space_group_name_H-M_alt 'P 1'
_space_group_IT_number 1
loop_
_space_group_symop_operation_xyz
'x,y,z'
loop_
_atom_site_label
_atom_site_fract_x
_atom_site_fract_y
_atom_site_fract_z
Gd1 0.000 0.210 0.790
Gd2 0.000 0.790 0.210
Y1 0.000 0.369 0.369
Zn1 0.000 0.789 0.789
Cd1 0.500 0.036 0.036
Cd2 0.500 0.543 0.789
Cd3 0.500 0.789 0.543
Ga1 0.500 0.123 0.456
Ga2 0.500 0.456 0.123
# - magnetization (μB per atom) = 0.00
# - symmetry = No. 38
# - crystal system = orthorhombic
# - uncorrected energy (eV per atom) = -3.375
# - theoretical density (g cm⁻³) = 7.775